Record 1
# PBE CaNdTm2, relaxed
# Total moment, μB per cell: 0.0
# Energy above the most stable polymorph in this dataset, kJ/mol of atoms: 10.1
# Energy of formation from the pure elements, kJ/mol of formula units: 69.1
data_CaNdTm2
_chemical_formula_sum 'Ca3 Nd3 Tm6'
_cell_length_a 3.5524
_cell_length_b 3.5524
_cell_length_c 37.5104
_cell_angle_alpha 90.00
_cell_angle_beta 90.00
_cell_angle_gamma 120.00
_symmetry_space_group_name_H-M 'R -3 m'
_symmetry_Int_Tables_number 166
_symmetry_space_group_name_Hall '-R 3 2"'
loop_
_atom_site_label
_atom_site_type_symbol
_atom_site_fract_x
_atom_site_fract_y
_atom_site_fract_z
Ca1 Ca 0.0000 0.0000 0.0000
Nd1 Nd 0.0000 0.0000 0.5000
Tm1 Tm 0.0000 0.0000 0.0900

Record 2
# PBE ThNbCd4, relaxed
# Total moment, μB per cell: 8.8
# Energy of formation from the pure elements, kJ/mol of formula units: 55.6
data_ThNbCd4
_chemical_formula_sum 'Th4 Nb4 Cd16'
_cell_length_a 8.1787
_cell_length_b 8.1787
_cell_length_c 8.1787
_cell_angle_alpha 90.00
_cell_angle_beta 90.00
_cell_angle_gamma 90.00
_symmetry_space_group_name_H-M 'F -4 3 m'
_symmetry_Int_Tables_number 216
_symmetry_space_group_name_Hall 'F -4 2 3'
loop_
_atom_site_label
_atom_site_type_symbol
_atom_site_fract_x
_atom_site_fract_y
_atom_site_fract_z
Th1 Th 0.0000 0.0000 0.0000
Nb1 Nb 0.2500 0.2500 0.2500
Cd1 Cd 0.1241 0.1241 0.6241

Record 3
# PBE Y4TeC, relaxed
# Total moment, μB per cell: 0.0
# ΔE_f (raw), eV per atom: -0.4913
# Energy above the most stable polymorph in this dataset, kJ/mol of atoms: 4.1
data_Y4TeC
_chemical_formula_sum 'Y16 Te4 C4'
_cell_length_a 9.5153
_cell_length_b 14.2924
_cell_length_c 6.1982
_cell_angle_alpha 90.00
_cell_angle_beta 129.17
_cell_angle_gamma 90.00
_symmetry_space_group_name_H-M 'C 1 2/c 1'
_symmetry_Int_Tables_number 15
_symmetry_space_group_name_Hall '-C 2yc'
loop_
_atom_site_label
_atom_site_type_symbol
_atom_site_fract_x
_atom_site_fract_y
_atom_site_fract_z
Y1 Y 0.1381 0.1942 0.1136
Y2 Y 0.2021 0.0480 0.6456
Te1 Te 0.0000 0.3805 0.7500
C1 C 0.0000 0.0728 0.7500

Record 4
# PBE Sm2DyTlC, relaxed
# Total moment, μB per cell: 0.0
# Energy of formation from the pure elements, kJ/mol of formula units: -180.7
data_Sm2DyTlC
_chemical_formula_sum 'Sm2 Dy1 Tl1 C1'
_cell_length_a 5.0599
_cell_length_b 5.0599
_cell_length_c 4.9278
_cell_angle_alpha 90.00
_cell_angle_beta 90.00
_cell_angle_gamma 90.00
_symmetry_space_group_name_H-M 'P 4/m m m'
_symmetry_Int_Tables_number 123
_symmetry_space_group_name_Hall '-P 4 2'
loop_
_atom_site_label
_atom_site_type_symbol
_atom_site_fract_x
_atom_site_fract_y
_atom_site_fract_z
Sm1 Sm 0.0000 0.5000 0.0000
Dy1 Dy 0.0000 0.0000 0.5000
Tl1 Tl 0.5000 0.5000 0.5000
C1 C 0.0000 0.0000 0.0000

Record 5
# PBE Ge3AsO, relaxed
# Total moment, μB per cell: 0.0
# ΔE_f (raw), eV per atom: 1.0956
# Energy above the most stable polymorph in this dataset, kJ/mol of atoms: 102.1
data_Ge3AsO
_chemical_formula_sum 'Ge3 As1 O1'
_cell_length_a 5.0340
_cell_length_b 5.0340
_cell_length_c 5.0340
_cell_angle_alpha 90.00
_cell_angle_beta 90.00
_cell_angle_gamma 90.00
_symmetry_space_group_name_H-M 'P m -3 m'
_symmetry_Int_Tables_number 221
_symmetry_space_group_name_Hall '-P 4 2 3'
loop_
_atom_site_label
_atom_site_type_symbol
_atom_site_fract_x
_atom_site_fract_y
_atom_site_fract_z
Ge1 Ge 0.0000 0.0000 0.5000
As1 As 0.0000 0.0000 0.0000
O1 O 0.5000 0.5000 0.5000

Record 6
# PBE CsPa4Se12, relaxed
# Total moment, μB per cell: 0.0
# ΔE_f (raw), eV per atom: -1.0553
data_CsPa4Se12
_chemical_formula_sum 'Cs2 Pa8 Se24'
_cell_length_a 10.9908
_cell_length_b 10.9908
_cell_length_c 10.9908
_cell_angle_alpha 90.00
_cell_angle_beta 90.00
_cell_angle_gamma 90.00
_symmetry_space_group_name_H-M 'I m -3'
_symmetry_Int_Tables_number 204
_symmetry_space_group_name_Hall '-I 2 2 3'
loop_
_atom_site_label
_atom_site_type_symbol
_atom_site_fract_x
_atom_site_fract_y
_atom_site_fract_z
Cs1 Cs 0.0000 0.0000 0.0000
Pa1 Pa 0.2500 0.2500 0.2500
Se1 Se 0.0000 0.2512 0.2497

Record 7
# PBE La2YCd, relaxed
# Total moment, μB per cell: 8.8
# Energy of formation from the pure elements, kJ/mol of formula units: -4.5
data_La2YCd
_chemical_formula_sum 'La8 Y4 Cd4'
_cell_length_a 7.9081
_cell_length_b 7.9081
_cell_length_c 7.9081
_cell_angle_alpha 90.00
_cell_angle_beta 90.00
_cell_angle_gamma 90.00
_symmetry_space_group_name_H-M 'F -4 3 m'
_symmetry_Int_Tables_number 216
_symmetry_space_group_name_Hall 'F -4 2 3'
loop_
_atom_site_label
_atom_site_type_symbol
_atom_site_fract_x
_atom_site_fract_y
_atom_site_fract_z
La1 La 0.0000 0.0000 0.0000
La2 La 0.2500 0.2500 0.2500
Y1 Y 0.0000 0.0000 0.5000
Cd1 Cd 0.2500 0.2500 0.7500

Record 8
# PBE TbCd2Pt, relaxed
# Total moment, μB per cell: 0.0
# Energy of formation from the pure elements, kJ/mol of formula units: 35.9
data_TbCd2Pt
_chemical_formula_sum 'Tb3 Cd6 Pt3'
_cell_length_a 3.1439
_cell_length_b 3.1439
_cell_length_c 31.9444
_cell_angle_alpha 90.00
_cell_angle_beta 90.00
_cell_angle_gamma 120.00
_symmetry_space_group_name_H-M 'R -3 m'
_symmetry_Int_Tables_number 166
_symmetry_space_group_name_Hall '-R 3 2"'
loop_
_atom_site_label
_atom_site_type_symbol
_atom_site_fract_x
_atom_site_fract_y
_atom_site_fract_z
Tb1 Tb 0.0000 0.0000 0.0000
Cd1 Cd 0.0000 0.0000 0.0978
Pt1 Pt 0.0000 0.0000 0.5000

Record 9
# PBE Sc2InRu, relaxed
# Total moment, μB per cell: 0.0
# Energy of formation from the pure elements, kJ/mol of formula units: -158.5
data_Sc2InRu
_chemical_formula_sum 'Sc4 In2 Ru2'
_cell_length_a 3.9235
_cell_length_b 4.8892
_cell_length_c 8.1835
_cell_angle_alpha 90.00
_cell_angle_beta 90.00
_cell_angle_gamma 90.00
_symmetry_space_group_name_H-M 'I m m m'
_symmetry_Int_Tables_number 71
_symmetry_space_group_name_Hall '-I 2 2'
loop_
_atom_site_label
_atom_site_type_symbol
_atom_site_fract_x
_atom_site_fract_y
_atom_site_fract_z
Sc1 Sc 0.0000 0.0000 0.2151
In1 In 0.0000 0.5000 0.0000
Ru1 Ru 0.0000 0.5000 0.5000

Record 10
# PBE SrScFe2, relaxed
# Total moment, μB per cell: 3.8
# Energy of formation from the pure elements, kJ/mol of formula units: 233.3
data_SrScFe2
_chemical_formula_sum 'Sr1 Sc1 Fe2'
_cell_length_a 4.8698
_cell_length_b 4.8698
_cell_length_c 3.4340
_cell_angle_alpha 90.00
_cell_angle_beta 90.00
_cell_angle_gamma 90.00
_symmetry_space_group_name_H-M 'P 4/m m m'
_symmetry_Int_Tables_number 123
_symmetry_space_group_name_Hall '-P 4 2'
loop_
_atom_site_label
_atom_site_type_symbol
_atom_site_fract_x
_atom_site_fract_y
_atom_site_fract_z
Sr1 Sr 0.0000 0.0000 0.0000
Sc1 Sc 0.5000 0.5000 0.0000
Fe1 Fe 0.0000 0.5000 0.5000

Record 11
# PBE LiErPd6, relaxed
# Total moment, μB per cell: 0.0
# Energy above the most stable polymorph in this dataset, kJ/mol of atoms: 19.3
# Energy of formation from the pure elements, kJ/mol of formula units: -279.6
data_LiErPd6
_chemical_formula_sum 'Li2 Er2 Pd12'
_cell_length_a 6.1815
_cell_length_b 9.1282
_cell_length_c 5.5457
_cell_angle_alpha 90.00
_cell_angle_beta 123.34
_cell_angle_gamma 90.00
_symmetry_space_group_name_H-M 'C 1 2/m 1'
_symmetry_Int_Tables_number 12
_symmetry_space_group_name_Hall '-C 2y'
loop_
_atom_site_label
_atom_site_type_symbol
_atom_site_fract_x
_atom_site_fract_y
_atom_site_fract_z
Li1 Li 0.0000 0.0000 0.0000
Er1 Er 0.0000 0.0000 0.5000
Pd1 Pd 0.0249 0.5000 0.7728
Pd2 Pd 0.2380 0.2418 0.2484

Record 12
# PBE Ba2MnTlTe, relaxed
# Total moment, μB per cell: 2.1
# ΔE_f (raw), eV per atom: -0.0623
data_Ba2MnTlTe
_chemical_formula_sum 'Ba2 Mn1 Tl1 Te1'
_cell_length_a 6.0254
_cell_length_b 6.0254
_cell_length_c 4.8455
_cell_angle_alpha 90.00
_cell_angle_beta 90.00
_cell_angle_gamma 90.00
_symmetry_space_group_name_H-M 'P 4/m m m'
_symmetry_Int_Tables_number 123
_symmetry_space_group_name_Hall '-P 4 2'
loop_
_atom_site_label
_atom_site_type_symbol
_atom_site_fract_x
_atom_site_fract_y
_atom_site_fract_z
Ba1 Ba 0.0000 0.5000 0.0000
Mn1 Mn 0.0000 0.0000 0.0000
Tl1 Tl 0.5000 0.5000 0.5000
Te1 Te 0.0000 0.0000 0.5000